No. 1
Density functional theory data (PBE-GGA) for a relaxed structure of PrNp6Se8.

The value obtained for the uncorrected energy is -8.564 eV per atom. The calculation puts the density of states at the Fermi level at 198.8 states/eV per cell. As for the total moment: 26.1 μB/f.u. The crystal system is cubic. As for the uncorrected formation energy: -1.211 eV/atom.

The space group is Fm-3m (No. 225) and the conventional cell measures 11.603, 11.603 and 11.603 Å, with angles of 90.00, 90.00 and 90.00 degrees. The asymmetric unit holds Pr at (0.000, 0.000, 0.000), Np at (0.000, 0.250, 0.250), Se at (0.000, 0.000, 0.259) and Se at (0.250, 0.250, 0.250).


No. 2
Density functional theory data (PBE-GGA) for a relaxed structure of Tb6SmTm2Sc.

The value obtained for the uncorrected energy is -4.649 eV per atom. The calculation puts the density of states at the Fermi level at 57.3 states/eV per cell. As for the total moment: 0.0 μB/f.u. As for the calculated formation energy: 0.1285 eV per atom. The crystal system is monoclinic.

The space group is C2/c (No. 15) and the conventional cell measures 9.145, 14.865 and 9.271 Å, with angles of 90.00, 95.82 and 90.00 degrees. The asymmetric unit holds Tb at (0.058, 0.181, 0.446), Tb at (0.097, 0.388, 0.612), Tb at (0.223, 0.221, 0.811), Sm at (0.000, 0.028, 0.750), Tm at (0.243, 0.449, 0.949) and Sc at (0.000, 0.417, 0.250).


No. 3
Density functional theory data (PBE-GGA) for a relaxed structure of Ca5Mn.

The value obtained for the uncorrected energy is -2.688 eV per atom. The calculation puts the density of states at the Fermi level at 27.4 states/eV per cell. As for the total moment: 5.1 μB/f.u. As for the calculated formation energy: 0.5084 eV per atom. The crystal system is cubic. The excess energy over the best structure of this formula in the dataset is 7.738 kcal/mol of atoms.

The space group is F-43m (No. 216) and the conventional cell measures 9.818, 9.818 and 9.818 Å, with angles of 90.00, 90.00 and 90.00 degrees. The asymmetric unit holds Ca at (0.000, 0.000, 0.000), Ca at (0.124, 0.124, 0.624) and Mn at (0.250, 0.250, 0.250).